5
Lattice="6.001 0.000 0.000 0.000 6.001 0.000 0.000 0.000 6.001" Properties=species:S:1:pos:R:3 comment="NaSr3Pt | the Alexandria database | PBE | optimized geometry" magnetic_moment_mub_per_cell=0.0 total_energy_ev_per_atom=-2.92 spacegroup="No. 221" pbc="T T T"
Sr 3.000 0.000 0.000
Sr 0.000 3.000 0.000
Sr 0.000 0.000 3.000
Pt 0.000 0.000 0.000
Na 3.000 3.000 3.000

10
Lattice="-6.867 -4.209 -1.278 4.394 -6.449 -2.368 0.078 -0.988 2.836" Properties=species:S:1:pos:R:3 comment="LaAl2Au2 | the Alexandria database | PBE | optimized geometry" magnetic_moment_mub_per_cell=0.0 total_energy_ev_per_atom=-4.19 spacegroup="No. 127" pbc="T T T"
Al 0.753 -2.937 -1.044
Al -3.750 -3.471 -1.107
Al 1.278 -7.186 -2.540
Al -3.226 -7.721 -2.602
Au -4.232 -6.209 -0.456
Au -1.579 -2.960 0.603
Au 1.837 -5.437 -0.354
Au -0.816 -8.686 -1.414
La 0.000 0.000 0.000
La -1.236 -5.329 -1.823

8
Lattice="-0.429 -5.492 -2.038 3.518 1.392 -4.492 8.659 -4.402 1.577" Properties=species:S:1:pos:R:3 comment="RbAg2Sb | the Alexandria database | PBE | optimized geometry" magnetic_moment_mub_per_cell=0.0 total_energy_ev_per_atom=-2.82 spacegroup="No. 141" formation_energy_uncorrected_ev_per_atom=-0.1268 pbc="T T T"
Rb 1.544 -2.050 -3.265
Rb 6.860 -2.530 -3.090
Ag 3.988 -5.039 -4.198
Ag 6.556 -7.934 -1.159
Ag 6.775 -5.186 -0.145
Ag 2.229 -5.729 -1.949
Sb 0.000 0.000 0.000
Sb 4.887 -5.972 -1.863

5
Lattice="5.093 0.000 0.000 0.000 3.143 0.000 0.000 0.000 5.093" Properties=species:S:1:pos:R:3 comment="Na2BSeO | the Alexandria database | PBE | optimized geometry" magnetic_moment_mub_per_cell=0.0 total_energy_ev_per_atom=-3.99 spacegroup="No. 123" formation_energy_uncorrected_ev_per_atom=-0.4426 pbc="T T T"
Na 0.000 0.000 2.546
Na 2.546 0.000 0.000
O 0.000 0.000 0.000
Se 2.546 1.571 2.546
B 0.000 1.571 0.000